## Pm14ErTh (PBE)

Data for Pm14ErTh after structural relaxation.

Values from the calculation:
**DFT formation energy**: 0.0214 eV per atom
**Final energy**: -4.88 eV per atom

The structure in CIF format:
```
data_Pm14ErTh
_space_group_name_H-M_alt 'P 4/m m m'
_space_group_IT_number 123
_space_group_name_Hall '-P 4 2'
_cell_length_a 7.268
_cell_length_b 7.268
_cell_length_c 10.312
_cell_angle_alpha 90.00
_cell_angle_beta 90.00
_cell_angle_gamma 90.00
loop_
_atom_site_label
_atom_site_type_symbol
_atom_site_fract_x
_atom_site_fract_y
_atom_site_fract_z
Pm1 Pm 0.000 0.000 0.000
Pm2 Pm 0.000 0.500 0.000
Pm3 Pm 0.000 0.500 0.500
Pm4 Pm 0.248 0.248 0.253
Pm5 Pm 0.500 0.500 0.000
Er1 Er 0.500 0.500 0.500
Th1 Th 0.000 0.000 0.500
```

=====

## TbGa4Cu2Os (PBE)

Data for TbGa4Cu2Os after structural relaxation.

Values from the calculation:
**DFT formation energy**: -0.1956 eV per atom
**Final energy**: -4.72 eV per atom

The structure in CIF format:
```
data_TbGa4Cu2Os
_space_group_name_H-M_alt 'R -3 m'
_space_group_IT_number 166
_space_group_name_Hall '-R 3 2"'
_cell_length_a 4.1818
_cell_length_b 4.1818
_cell_length_c 26.7342
_cell_angle_alpha 90.00
_cell_angle_beta 90.00
_cell_angle_gamma 120.00
loop_
_atom_site_label
_atom_site_type_symbol
_atom_site_fract_x
_atom_site_fract_y
_atom_site_fract_z
Tb1 Tb 0.0000 0.0000 0.0000
Ga1 Ga 0.0000 0.0000 0.1307
Ga2 Ga 0.0000 0.0000 0.4004
Cu1 Cu 0.0000 0.0000 0.2348
Os1 Os 0.0000 0.0000 0.5000
```

=====

## InI2NF (PBE)

Data for InI2NF after structural relaxation.

Values from the calculation:
**Formation energy without anion corrections**: 0.707 eV per atom
**ΔE to the lowest computed polymorph**: 0.024 eV per atom
**Final energy**: -2.50 eV per atom

The structure in CIF format:
```
data_InI2NF
_space_group_name_H-M_alt 'P 4/m m m'
_space_group_IT_number 123
_space_group_name_Hall '-P 4 2'
_cell_length_a 6.744
_cell_length_b 6.744
_cell_length_c 3.425
_cell_angle_alpha 90.00
_cell_angle_beta 90.00
_cell_angle_gamma 90.00
loop_
_atom_site_label
_atom_site_type_symbol
_atom_site_fract_x
_atom_site_fract_y
_atom_site_fract_z
In1 In 0.000 0.000 0.000
I1 I 0.000 0.500 0.500
N1 N 0.500 0.500 0.000
F1 F 0.500 0.500 0.500
```

=====

## SrAlFe (PBE)

Data for SrAlFe after structural relaxation.

Values from the calculation:
**DFT formation energy**: 0.2754 eV per atom
**Final energy**: -4.35 eV per atom

The structure in CIF format:
```
data_SrAlFe
_space_group_name_H-M_alt 'P -6 m 2'
_space_group_IT_number 187
_space_group_name_Hall 'P -6 2'
_cell_length_a 4.3183
_cell_length_b 4.3183
_cell_length_c 4.5960
_cell_angle_alpha 90.00
_cell_angle_beta 90.00
_cell_angle_gamma 120.00
loop_
_atom_site_label
_atom_site_type_symbol
_atom_site_fract_x
_atom_site_fract_y
_atom_site_fract_z
Sr1 Sr 0.0000 0.0000 0.0000
Al1 Al 0.6667 0.3333 0.5000
Fe1 Fe 0.3333 0.6667 0.5000
```

=====

## DyEr2Rh (PBE)

Data for DyEr2Rh after structural relaxation.

Values from the calculation:
**DFT formation energy**: -0.3515 eV per atom
**ΔE to the lowest computed polymorph**: 0.196 eV per atom
**Final energy**: -5.62 eV per atom

The structure in CIF format:
```
data_DyEr2Rh
_space_group_name_H-M_alt 'R 3 m'
_space_group_IT_number 160
_space_group_name_Hall 'R 3 -2"'
_cell_length_a 3.7965
_cell_length_b 3.7965
_cell_length_c 27.0586
_cell_angle_alpha 90.00
_cell_angle_beta 90.00
_cell_angle_gamma 120.00
loop_
_atom_site_label
_atom_site_type_symbol
_atom_site_fract_x
_atom_site_fract_y
_atom_site_fract_z
Dy1 Dy 0.0000 0.0000 0.0000
Er1 Er 0.0000 0.0000 0.2283
Er2 Er 0.0000 0.0000 0.4418
Rh1 Rh 0.0000 0.0000 0.8353
```

=====

## K2TcAgPd (PBE)

Data for K2TcAgPd after structural relaxation.

Values from the calculation:
**DFT formation energy**: 1.2269 eV per atom
**Final energy**: -2.89 eV per atom

The structure in CIF format:
```
data_K2TcAgPd
_space_group_name_H-M_alt 'P 4/m m m'
_space_group_IT_number 123
_space_group_name_Hall '-P 4 2'
_cell_length_a 5.870
_cell_length_b 5.870
_cell_length_c 5.261
_cell_angle_alpha 90.00
_cell_angle_beta 90.00
_cell_angle_gamma 90.00
loop_
_atom_site_label
_atom_site_type_symbol
_atom_site_fract_x
_atom_site_fract_y
_atom_site_fract_z
K1 K 0.000 0.500 0.000
Tc1 Tc 0.000 0.000 0.500
Ag1 Ag 0.500 0.500 0.500
Pd1 Pd 0.500 0.500 0.000
```

=====

## Na2LiSn2 (PBE)

Data for Na2LiSn2 after structural relaxation.

Values from the calculation:
**DFT formation energy**: -0.1037 eV per atom
**ΔE to the lowest computed polymorph**: 0.097 eV per atom
**Final energy**: -2.62 eV per atom

The structure in CIF format:
```
data_Na2LiSn2
_space_group_name_H-M_alt 'P 4/m b m'
_space_group_IT_number 127
_space_group_name_Hall '-P 4 2ab'
_cell_length_a 8.211
_cell_length_b 8.211
_cell_length_c 4.112
_cell_angle_alpha 90.00
_cell_angle_beta 90.00
_cell_angle_gamma 90.00
loop_
_atom_site_label
_atom_site_type_symbol
_atom_site_fract_x
_atom_site_fract_y
_atom_site_fract_z
Na1 Na 0.174 0.326 0.000
Li1 Li 0.000 0.000 0.500
Sn1 Sn 0.126 0.626 0.500
```

=====

## AlHSe2 (PBE)

Data for AlHSe2 after structural relaxation.

Values from the calculation:
**ΔE to the lowest computed polymorph**: 0.728 eV per atom
**Final energy**: -3.34 eV per atom

The structure in CIF format:
```
data_AlHSe2
_space_group_name_H-M_alt 'P 4/m m m'
_space_group_IT_number 123
_space_group_name_Hall '-P 4 2'
_cell_length_a 3.514
_cell_length_b 3.514
_cell_length_c 5.394
_cell_angle_alpha 90.00
_cell_angle_beta 90.00
_cell_angle_gamma 90.00
loop_
_atom_site_label
_atom_site_type_symbol
_atom_site_fract_x
_atom_site_fract_y
_atom_site_fract_z
Al1 Al 0.000 0.000 0.000
H1 H 0.500 0.500 0.500
Se1 Se 0.000 0.000 0.500
Se2 Se 0.500 0.500 0.000
```

=====

Repeat the seventh record exactly.
## Na2LiSn2 (PBE)

Data for Na2LiSn2 after structural relaxation.

Values from the calculation:
**DFT formation energy**: -0.1037 eV per atom
**ΔE to the lowest computed polymorph**: 0.097 eV per atom
**Final energy**: -2.62 eV per atom

The structure in CIF format:
```
data_Na2LiSn2
_space_group_name_H-M_alt 'P 4/m b m'
_space_group_IT_number 127
_space_group_name_Hall '-P 4 2ab'
_cell_length_a 8.211
_cell_length_b 8.211
_cell_length_c 4.112
_cell_angle_alpha 90.00
_cell_angle_beta 90.00
_cell_angle_gamma 90.00
loop_
_atom_site_label
_atom_site_type_symbol
_atom_site_fract_x
_atom_site_fract_y
_atom_site_fract_z
Na1 Na 0.174 0.326 0.000
Li1 Li 0.000 0.000 0.500
Sn1 Sn 0.126 0.626 0.500
```

=====

The highest final energy belongs to which entry?
InI2NF